Material: FeSnRhO6
Method: DFT, GGA+U
State: optimized geometry

```
FeSnRhO6
1.0
4.685 0.000 0.000
0.000 4.685 0.000
0.000 0.000 9.358
Fe Sn Rh O
2 2 2 12
Cartesian
0.000 0.000 0.000
2.342 2.342 4.679
0.000 0.000 6.242
2.342 2.342 1.563
0.000 0.000 3.125
2.342 2.342 7.804
0.862 0.862 1.531
0.908 0.908 4.613
0.931 0.931 7.843
1.411 3.274 3.165
1.435 3.250 9.292
1.481 3.204 6.210
3.204 1.481 6.210
3.250 1.435 9.292
3.274 1.411 3.165
3.754 3.754 7.843
3.777 3.777 4.613
3.823 3.823 1.531
```

Results
**Magnetic moment**: 1.00 μB per formula unit
**Total DFT energy (no corrections)**: -6.215 eV per atom
**D(E_F)**: 2.561 states/eV/f.u.